No. 1
Computed, not measured: crystalline NbNiAsPt at its relaxed geometry at the PBE level of DFT.

Summary:
SG = F-43m, No. 216
polymorph energy (0 for the lowest one) = 0.0 meV/atom
calculated density = 11449 kg/m3

Cell lengths 6.254, 6.254, 6.254 Å; angles 90.00, 90.00, 90.00 degrees
Fractional positions:
Nb 0.000 0.000 0.000
Nb 0.000 0.500 0.500
Nb 0.500 0.000 0.500
Nb 0.500 0.500 0.000
Ni 0.000 0.000 0.500
Ni 0.000 0.500 0.000
Ni 0.500 0.000 0.000
Ni 0.500 0.500 0.500
As 0.250 0.250 0.250
As 0.250 0.750 0.750
As 0.750 0.250 0.750
As 0.750 0.750 0.250
Pt 0.250 0.250 0.750
Pt 0.250 0.750 0.250
Pt 0.750 0.250 0.250
Pt 0.750 0.750 0.750

---

No. 2
Computed, not measured: crystalline Pr2Al19Co6 at its relaxed geometry at the PBE level of DFT.

Summary:
total DFT energy (no corrections) = -272.9 eV per cell
SG = C2/m, No. 12
calculated density = 4478 kg/m3

Cell lengths 10.689, 10.689, 8.228 Å; angles 101.48, 101.48, 68.96 degrees
Fractional positions:
Pr 0.220 0.220 0.227
Pr 0.221 0.221 0.744
Pr 0.779 0.779 0.256
Pr 0.780 0.780 0.773
Al 0.003 0.502 0.237
Al 0.021 0.685 0.552
Al 0.040 0.688 0.057
Al 0.063 0.830 0.352
Al 0.065 0.831 0.845
Al 0.169 0.935 0.155
Al 0.170 0.937 0.648
Al 0.203 0.437 0.535
Al 0.227 0.452 0.050
Al 0.300 0.648 0.638
Al 0.312 0.960 0.943
Al 0.315 0.979 0.448
Al 0.330 0.670 0.000
Al 0.352 0.700 0.362
Al 0.414 0.414 0.816
Al 0.419 0.419 0.355
Al 0.437 0.203 0.535
Al 0.452 0.227 0.050
Al 0.498 0.997 0.763
Al 0.502 0.003 0.237
Al 0.548 0.773 0.950
Al 0.563 0.797 0.465
Al 0.581 0.581 0.645
Al 0.586 0.586 0.184
Al 0.648 0.300 0.638
Al 0.670 0.330 0.000
Al 0.685 0.021 0.552
Al 0.688 0.040 0.057
Al 0.700 0.352 0.362
Al 0.773 0.548 0.950
Al 0.797 0.563 0.465
Al 0.830 0.063 0.352
Al 0.831 0.065 0.845
Al 0.935 0.169 0.155
Al 0.937 0.170 0.648
Al 0.960 0.312 0.943
Al 0.979 0.315 0.448
Al 0.997 0.498 0.763
Co 0.061 0.061 0.405
Co 0.061 0.061 0.906
Co 0.180 0.579 0.811
Co 0.186 0.583 0.330
Co 0.417 0.814 0.670
Co 0.421 0.820 0.189
Co 0.579 0.180 0.811
Co 0.583 0.186 0.330
Co 0.814 0.417 0.670
Co 0.820 0.421 0.189
Co 0.939 0.939 0.094
Co 0.939 0.939 0.595

---

No. 3
Computed, not measured: crystalline ZrNiP2 at its relaxed geometry at the PBE level of DFT.

Summary:
total DFT energy (no corrections) = -57.4 eV per cell
SG = P4/nmm, No. 129
calculated density = 6005 kg/m3

Cell lengths 3.620, 3.620, 8.943 Å; angles 90.00, 90.00, 90.00 degrees
Fractional positions:
Zr 0.250 0.250 0.230
Zr 0.750 0.750 0.770
Ni 0.250 0.750 0.500
Ni 0.750 0.250 0.500
P 0.250 0.250 0.655
P 0.250 0.750 0.000
P 0.750 0.250 0.000
P 0.750 0.750 0.345

---

No. 4
Computed, not measured: crystalline Ho2MgS3 at its relaxed geometry at the PBE level of DFT.

Summary:
total DFT energy (no corrections) = -33.7 eV per cell
SG = P-3m1, No. 164
calculated density = 6284 kg/m3

Cell lengths 3.798, 3.798, 9.528 Å; angles 90.00, 90.00, 120.00 degrees
Fractional positions:
Ho 0.333 0.667 0.160
Ho 0.667 0.333 0.840
Mg 0.000 0.000 0.500
S 0.000 0.000 0.000
S 0.333 0.667 0.653
S 0.667 0.333 0.347

---

No. 5
Computed, not measured: crystalline LuHfSb at its relaxed geometry at the PBE level of DFT.

Summary:
total DFT energy (no corrections) = -68.2 eV per cell
SG = F-43m, No. 216
calculated density = 8950 kg/m3

Cell lengths 7.065, 7.065, 7.065 Å; angles 90.00, 90.00, 90.00 degrees
Fractional positions:
Lu 0.000 0.000 0.000
Lu 0.000 0.500 0.500
Lu 0.500 0.000 0.500
Lu 0.500 0.500 0.000
Hf 0.250 0.250 0.750
Hf 0.250 0.750 0.250
Hf 0.750 0.250 0.250
Hf 0.750 0.750 0.750
Sb 0.250 0.250 0.250
Sb 0.250 0.750 0.750
Sb 0.750 0.250 0.750
Sb 0.750 0.750 0.250

---

No. 6
Computed, not measured: crystalline HfGaMo at its relaxed geometry at the PBE level of DFT.

Summary:
SG = F-43m, No. 216
polymorph energy (0 for the lowest one) = 0.0 meV/atom
calculated density = 9243 kg/m3

Cell lengths 6.277, 6.277, 6.277 Å; angles 90.00, 90.00, 90.00 degrees
Fractional positions:
Hf 0.000 0.000 0.000
Hf 0.000 0.500 0.500
Hf 0.500 0.000 0.500
Hf 0.500 0.500 0.000
Ga 0.000 0.000 0.500
Ga 0.000 0.500 0.000
Ga 0.500 0.000 0.000
Ga 0.500 0.500 0.500
Mo 0.250 0.250 0.750
Mo 0.250 0.750 0.250
Mo 0.750 0.250 0.250
Mo 0.750 0.750 0.750

---

No. 7
Computed, not measured: crystalline RbBeRe at its relaxed geometry at the PBE level of DFT.

Summary:
SG = F-43m, No. 216
polymorph energy (0 for the lowest one) = 0.0 meV/atom
calculated density = 6658 kg/m3

Cell lengths 6.542, 6.542, 6.542 Å; angles 90.00, 90.00, 90.00 degrees
Fractional positions:
Rb 0.000 0.000 0.000
Rb 0.000 0.500 0.500
Rb 0.500 0.000 0.500
Rb 0.500 0.500 0.000
Be 0.250 0.250 0.250
Be 0.250 0.750 0.750
Be 0.750 0.250 0.750
Be 0.750 0.750 0.250
Re 0.000 0.000 0.500
Re 0.000 0.500 0.000
Re 0.500 0.000 0.000
Re 0.500 0.500 0.500

---

No. 8
Computed, not measured: crystalline TlCuS at its relaxed geometry at the PBE level of DFT.

Summary:
total DFT energy (no corrections) = -11.1 eV per cell
SG = P-6m2, No. 187
calculated density = 7584 kg/m3

Cell lengths 3.934, 3.934, 4.902 Å; angles 90.00, 90.00, 120.00 degrees
Fractional positions:
Tl 0.000 0.000 0.000
Cu 0.667 0.333 0.500
S 0.333 0.667 0.500

---

No. 9
Computed, not measured: crystalline PrAgPbS3 at its relaxed geometry at the PBE level of DFT.

Summary:
SG = C2/m, No. 12
polymorph energy (0 for the lowest one) = 13.7 meV/atom
calculated density = 6157 kg/m3

Cell lengths 9.231, 9.231, 8.404 Å; angles 103.67, 103.67, 25.38 degrees
Fractional positions:
Pr 0.164 0.164 0.091
Pr 0.836 0.836 0.909
Ag 0.474 0.474 0.788
Ag 0.526 0.526 0.212
Pb 0.130 0.130 0.572
Pb 0.870 0.870 0.428
S 0.000 0.000 0.000
S 0.323 0.323 0.667
S 0.328 0.328 0.147
S 0.500 0.500 0.500
S 0.672 0.672 0.853
S 0.677 0.677 0.333

---

No. 10
Computed, not measured: crystalline BeHgSb at its relaxed geometry at the PBE level of DFT.

Summary:
SG = F-43m, No. 216
polymorph energy (0 for the lowest one) = 0.0 meV/atom
calculated density = 8690 kg/m3

Cell lengths 6.327, 6.327, 6.327 Å; angles 90.00, 90.00, 90.00 degrees
Fractional positions:
Be 0.000 0.000 0.000
Be 0.000 0.500 0.500
Be 0.500 0.000 0.500
Be 0.500 0.500 0.000
Hg 0.250 0.250 0.750
Hg 0.250 0.750 0.250
Hg 0.750 0.250 0.250
Hg 0.750 0.750 0.750
Sb 0.250 0.250 0.250
Sb 0.250 0.750 0.750
Sb 0.750 0.250 0.750
Sb 0.750 0.750 0.250

---

No. 11
Computed, not measured: crystalline SmInFe at its relaxed geometry at the PBE level of DFT.

Summary:
total DFT energy (no corrections) = -53.5 eV per cell
SG = F-43m, No. 216
calculated density = 6949 kg/m3

Cell lengths 6.745, 6.745, 6.745 Å; angles 90.00, 90.00, 90.00 degrees
Fractional positions:
Sm 0.000 0.000 0.000
Sm 0.000 0.500 0.500
Sm 0.500 0.000 0.500
Sm 0.500 0.500 0.000
In 0.250 0.250 0.250
In 0.250 0.750 0.750
In 0.750 0.250 0.750
In 0.750 0.750 0.250
Fe 0.250 0.250 0.750
Fe 0.250 0.750 0.250
Fe 0.750 0.250 0.250
Fe 0.750 0.750 0.750

---

No. 12
Computed, not measured: crystalline Dy3Y2HoBi2Os at its relaxed geometry at the PBE level of DFT.

Summary:
total DFT energy (no corrections) = -55.5 eV per cell
SG = Amm2, No. 38
calculated density = 9445 kg/m3

Cell lengths 4.239, 8.297, 8.297 Å; angles 119.94, 90.00, 90.00 degrees
Fractional positions:
Dy 0.000 0.000 0.000
Dy 0.000 0.224 0.611
Dy 0.000 0.611 0.224
Y 0.500 0.612 0.847
Y 0.500 0.847 0.612
Ho 0.500 0.378 0.378
Bi 0.500 0.278 0.945
Bi 0.500 0.945 0.278
Os 0.000 0.609 0.609

---

No. 13
Computed, not measured: crystalline Gd2CoNiGe4 at its relaxed geometry at the PBE level of DFT.

Summary:
total DFT energy (no corrections) = -92.0 eV per cell
SG = Amm2, No. 38
calculated density = 8282 kg/m3

Cell lengths 4.212, 4.136, 16.635 Å; angles 90.00, 90.00, 90.00 degrees
Fractional positions:
Gd 0.000 0.000 0.000
Gd 0.000 0.500 0.500
Gd 0.500 0.000 0.216
Gd 0.500 0.500 0.716
Co 0.000 0.000 0.789
Co 0.000 0.500 0.289
Ni 0.500 0.000 0.429
Ni 0.500 0.500 0.929
Ge 0.000 0.000 0.359
Ge 0.000 0.000 0.652
Ge 0.000 0.500 0.152
Ge 0.000 0.500 0.859
Ge 0.500 0.000 0.567
Ge 0.500 0.000 0.856
Ge 0.500 0.500 0.067
Ge 0.500 0.500 0.356

---

No. 14
Computed, not measured: crystalline Na2PtPb at its relaxed geometry at the PBE level of DFT.

Summary:
total DFT energy (no corrections) = -10.5 eV per cell
SG = P4/mmm, No. 123
calculated density = 7361 kg/m3

Cell lengths 4.165, 4.165, 5.829 Å; angles 90.00, 90.00, 90.00 degrees
Fractional positions:
Na 0.000 0.000 0.000
Na 0.500 0.500 0.500
Pt 0.000 0.000 0.500
Pb 0.500 0.500 0.000

---

No. 15
Computed, not measured: crystalline Li2MgAl2ZnIr2 at its relaxed geometry at the PBE level of DFT.

Summary:
total DFT energy (no corrections) = -36.3 eV per cell
SG = P-4m2, No. 115
calculated density = 7951 kg/m3

Cell lengths 4.309, 4.309, 6.097 Å; angles 90.00, 90.00, 90.00 degrees
Fractional positions:
Li 0.000 0.500 0.240
Li 0.500 0.000 0.760
Mg 0.500 0.500 0.500
Al 0.000 0.000 0.500
Al 0.500 0.500 0.000
Zn 0.000 0.000 0.000
Ir 0.000 0.500 0.758
Ir 0.500 0.000 0.242

---

No. 16
Computed, not measured: crystalline Mg3Cu5 at its relaxed geometry at the PBE level of DFT.

Summary:
total DFT energy (no corrections) = -23.8 eV per cell
SG = P4/mmm, No. 123
calculated density = 5623 kg/m3

Cell lengths 3.118, 3.118, 11.865 Å; angles 90.00, 90.00, 90.00 degrees
Fractional positions:
Mg 0.000 0.000 0.000
Mg 0.500 0.500 0.368
Mg 0.500 0.500 0.632
Cu 0.000 0.000 0.236
Cu 0.000 0.000 0.500
Cu 0.000 0.000 0.764
Cu 0.500 0.500 0.133
Cu 0.500 0.500 0.867

---

No. 17
Computed, not measured: crystalline YTcHg2 at its relaxed geometry at the PBE level of DFT.

Summary:
SG = F-43m, No. 216
ΔH_f (0 K) = 0.32 eV/atom
calculated density = 11712 kg/m3

Cell lengths 6.935, 6.935, 6.935 Å; angles 90.00, 90.00, 90.00 degrees
Fractional positions:
Y 0.000 0.000 0.000
Y 0.000 0.500 0.500
Y 0.500 0.000 0.500
Y 0.500 0.500 0.000
Tc 0.250 0.250 0.750
Tc 0.250 0.750 0.250
Tc 0.750 0.250 0.250
Tc 0.750 0.750 0.750
Hg 0.000 0.000 0.500
Hg 0.000 0.500 0.000
Hg 0.250 0.250 0.250
Hg 0.250 0.750 0.750
Hg 0.500 0.000 0.000
Hg 0.500 0.500 0.500
Hg 0.750 0.250 0.750
Hg 0.750 0.750 0.250

---

No. 18
Computed, not measured: crystalline DyErIr at its relaxed geometry at the PBE level of DFT.

Summary:
SG = Pnma, No. 62
polymorph energy (0 for the lowest one) = 0.0 meV/atom
ΔH_f (0 K) = -0.76 eV/atom
calculated density = 12118 kg/m3

Cell lengths 7.187, 4.567, 8.718 Å; angles 90.00, 90.00, 90.00 degrees
Fractional positions:
Dy 0.010 0.250 0.164
Dy 0.490 0.750 0.664
Dy 0.510 0.250 0.336
Dy 0.990 0.750 0.836
Er 0.141 0.250 0.579
Er 0.359 0.750 0.079
Er 0.641 0.250 0.921
Er 0.859 0.750 0.421
Ir 0.245 0.250 0.905
Ir 0.255 0.750 0.405
Ir 0.745 0.250 0.595
Ir 0.755 0.750 0.095

---

No. 19
Computed, not measured: crystalline KB4Os at its relaxed geometry at the PBE level of DFT.

Summary:
SG = Immm, No. 71
polymorph energy (0 for the lowest one) = 408.9 meV/atom
calculated density = 7349 kg/m3

Cell lengths 3.009, 5.518, 7.419 Å; angles 90.00, 90.00, 90.00 degrees
Fractional positions:
K 0.000 0.000 0.000
K 0.500 0.500 0.500
B 0.000 0.347 0.238
B 0.000 0.347 0.762
B 0.000 0.653 0.238
B 0.000 0.653 0.762
B 0.500 0.153 0.262
B 0.500 0.153 0.738
B 0.500 0.847 0.262
B 0.500 0.847 0.738
Os 0.000 0.000 0.500
Os 0.500 0.500 0.000

---

No. 20
Computed, not measured: crystalline TbAlZnNi at its relaxed geometry at the PBE level of DFT.

Summary:
SG = Amm2, No. 38
polymorph energy (0 for the lowest one) = 6.2 meV/atom
calculated density = 7357 kg/m3

Cell lengths 7.083, 4.080, 9.685 Å; angles 90.00, 90.00, 90.00 degrees
Fractional positions:
Tb 0.000 0.000 0.000
Tb 0.000 0.500 0.500
Tb 0.500 0.000 0.124
Tb 0.500 0.500 0.624
Al 0.194 0.000 0.718
Al 0.194 0.500 0.218
Al 0.806 0.000 0.718
Al 0.806 0.500 0.218
Zn 0.306 0.000 0.412
Zn 0.306 0.500 0.912
Zn 0.694 0.000 0.412
Zn 0.694 0.500 0.912
Ni 0.000 0.000 0.276
Ni 0.000 0.500 0.776
Ni 0.500 0.000 0.837
Ni 0.500 0.500 0.337